# 1
! MoN2F2 | the Alexandria database | SCAN | single point on PBEsol structure; values from VASP
! energy = -53.28 eV for the cell shown
! energy relative to the elements, uncorrected = 1.453 eV per atom
! N(E_F) = 0.41 states/eV/atom
&SYSTEM
  ibrav = 0, nat = 5, ntyp = 3
/
ATOMIC_SPECIES
Mo 95.94 Mo.upf
N 14.01 N.upf
F 19.00 F.upf
ATOMIC_POSITIONS crystal
Mo 0.0000 0.0000 0.0000
N 0.0000 0.5000 0.5000
N 0.5000 0.0000 0.5000
F 0.5000 0.5000 0.0000
F 0.5000 0.5000 0.5000
CELL_PARAMETERS angstrom
3.4627 0.0000 0.0000
0.0000 3.4627 0.0000
0.0000 0.0000 3.9198

=====

# 2
! ZrTa2Rh | the Alexandria database | SCAN | single point on PBEsol structure; values from VASP
! energy = -197.91 eV for the cell shown
! N(E_F) = 0.88 states/eV/atom
&SYSTEM
  ibrav = 0, nat = 4, ntyp = 3
/
ATOMIC_SPECIES
Zr 91.22 Zr.upf
Ta 180.95 Ta.upf
Rh 102.91 Rh.upf
ATOMIC_POSITIONS crystal
Zr 0.0000 0.0000 0.0000
Ta 0.5097 0.5097 0.5097
Ta 0.7577 0.7577 0.7577
Rh 0.2507 0.2507 0.2507
CELL_PARAMETERS angstrom
1.5174 0.8761 8.9481
-1.5174 0.8761 8.9481
0.0000 -1.7521 8.9481

=====

# 3
! MgZnTe | the Alexandria database | SCAN | single point on PBEsol structure; values from VASP
! energy = -55.73 eV for the cell shown
! energy relative to the elements, uncorrected = 0.002 eV per atom
! N(E_F) = 0.21 states/eV/atom
&SYSTEM
  ibrav = 0, nat = 3, ntyp = 3
/
ATOMIC_SPECIES
Mg 24.30 Mg.upf
Zn 65.41 Zn.upf
Te 127.60 Te.upf
ATOMIC_POSITIONS crystal
Mg 0.0000 0.0000 0.0000
Zn 0.5000 0.5000 0.5000
Te 0.7500 0.7500 0.7500
CELL_PARAMETERS angstrom
0.0000 3.4464 3.4464
3.4464 0.0000 3.4464
3.4464 3.4464 0.0000

=====

# 4
! OsPdNF2 | the Alexandria database | SCAN | single point on PBEsol structure; values from VASP
! energy = -116.31 eV for the cell shown
! energy relative to the elements, uncorrected = 0.943 eV per atom
! N(E_F) = 0.54 states/eV/atom
&SYSTEM
  ibrav = 0, nat = 5, ntyp = 4
/
ATOMIC_SPECIES
Os 190.23 Os.upf
Pd 106.42 Pd.upf
N 14.01 N.upf
F 19.00 F.upf
ATOMIC_POSITIONS crystal
Os 0.0000 0.0000 0.0000
Pd 0.5000 0.5000 0.5000
N 0.5000 0.5000 0.0000
F 0.0000 0.5000 0.5000
F 0.5000 0.0000 0.5000
CELL_PARAMETERS angstrom
4.1243 0.0000 0.0000
0.0000 4.1243 0.0000
0.0000 0.0000 3.8486

=====

# 5
! Ba2SrAg | the Alexandria database | SCAN | single point on PBEsol structure; values from VASP
! energy = -133.07 eV for the cell shown
! N(E_F) = 0.89 states/eV/atom
&SYSTEM
  ibrav = 0, nat = 4, ntyp = 3
/
ATOMIC_SPECIES
Ba 137.33 Ba.upf
Sr 87.62 Sr.upf
Ag 107.87 Ag.upf
ATOMIC_POSITIONS crystal
Ba 0.0000 0.0000 0.0000
Ba 0.5000 0.3432 0.3432
Sr 0.0000 0.6855 0.6855
Ag 0.5000 0.5441 0.5441
CELL_PARAMETERS angstrom
4.3802 0.0000 0.0000
0.0000 2.4409 8.7127
0.0000 -2.4409 8.7127

=====

# 6
! CrPdN3 | the Alexandria database | SCAN | single point on PBEsol structure; values from VASP
! energy = -71.14 eV for the cell shown
! energy relative to the elements, uncorrected = 1.578 eV per atom
! N(E_F) = 0.34 states/eV/atom
&SYSTEM
  ibrav = 0, nat = 5, ntyp = 3
/
ATOMIC_SPECIES
Cr 52.00 Cr.upf
Pd 106.42 Pd.upf
N 14.01 N.upf
ATOMIC_POSITIONS crystal
Cr 0.0000 0.0000 0.0000
Pd 0.5000 0.5000 0.5000
N 0.0000 0.5000 0.5000
N 0.5000 0.0000 0.5000
N 0.5000 0.5000 0.0000
CELL_PARAMETERS angstrom
3.8621 0.0000 0.0000
0.0000 3.8621 0.0000
0.0000 0.0000 3.8621

=====

# 7
! NaGa2Hg2 | the Alexandria database | SCAN | single point on PBEsol structure; values from VASP
! energy = -173.80 eV for the cell shown
! N(E_F) = 0.43 states/eV/atom
&SYSTEM
  ibrav = 0, nat = 5, ntyp = 3
/
ATOMIC_SPECIES
Na 22.99 Na.upf
Ga 69.72 Ga.upf
Hg 200.59 Hg.upf
ATOMIC_POSITIONS crystal
Na 0.0000 0.0000 0.0000
Ga 0.2500 0.7500 0.5000
Ga 0.7500 0.2500 0.5000
Hg 0.3951 0.3951 0.0000
Hg 0.6049 0.6049 0.0000
CELL_PARAMETERS angstrom
-2.0343 2.0343 6.6099
2.0343 -2.0343 6.6099
2.0343 2.0343 -6.6099

=====

# 8
! Hf2AlGa2 | the Alexandria database | SCAN | single point on PBEsol structure; values from VASP
! energy = -336.84 eV for the cell shown
! N(E_F) = 0.36 states/eV/atom
&SYSTEM
  ibrav = 0, nat = 10, ntyp = 3
/
ATOMIC_SPECIES
Hf 178.49 Hf.upf
Al 26.98 Al.upf
Ga 69.72 Ga.upf
ATOMIC_POSITIONS crystal
Hf 0.1758 0.3242 0.0000
Hf 0.3242 0.8242 0.0000
Hf 0.6758 0.1758 0.0000
Hf 0.8242 0.6758 0.0000
Al 0.0000 0.0000 0.5000
Al 0.5000 0.5000 0.5000
Ga 0.1293 0.6293 0.5000
Ga 0.3707 0.1293 0.5000
Ga 0.6293 0.8707 0.5000
Ga 0.8707 0.3707 0.5000
CELL_PARAMETERS angstrom
6.6785 0.0000 0.0000
0.0000 6.6785 0.0000
0.0000 0.0000 4.0441

=====

# 9
! Li21Fe4O16 | the Alexandria database | SCAN | single point on PBEsol structure; values from VASP
! energy = -303.15 eV for the cell shown
! energy relative to the elements, uncorrected = -1.969 eV per atom
! N(E_F) = 0.22 states/eV/atom
&SYSTEM
  ibrav = 0, nat = 41, ntyp = 3
/
ATOMIC_SPECIES
Li 6.94 Li.upf
Fe 55.84 Fe.upf
O 16.00 O.upf
ATOMIC_POSITIONS crystal
Li 0.0000 0.0000 0.0000
Li 0.9997 0.4231 0.9896
Li 0.0008 0.4174 0.4878
Li 0.0576 0.9422 0.2637
Li 0.0578 0.9424 0.7363
Li 0.0833 0.5014 0.2375
Li 0.0836 0.5059 0.7404
Li 0.2611 0.1809 0.4726
Li 0.2868 0.2073 0.9685
Li 0.3164 0.2423 0.2233
Li 0.3217 0.2372 0.7212
Li 0.4941 0.9164 0.2596
Li 0.4986 0.9167 0.7625
Li 0.5591 0.4409 0.0000
Li 0.5586 0.4414 0.5000
Li 0.5769 0.0003 0.0104
Li 0.5826 0.9992 0.5122
Li 0.7577 0.6836 0.7767
Li 0.7628 0.6783 0.2788
Li 0.7927 0.7132 0.0315
Li 0.8191 0.7389 0.5274
Fe 0.2822 0.7178 0.0000
Fe 0.2825 0.7175 0.5000
Fe 0.7798 0.2196 0.2515
Fe 0.7804 0.2202 0.7485
O 0.0241 0.7165 0.8923
O 0.0346 0.6992 0.3854
O 0.0487 0.2144 0.8477
O 0.0506 0.2277 0.3343
O 0.2732 0.4487 0.5866
O 0.2736 0.4508 0.0841
O 0.2835 0.9759 0.1077
O 0.3008 0.9654 0.6146
O 0.5330 0.1947 0.3628
O 0.5371 0.2021 0.8655
O 0.5492 0.7264 0.9159
O 0.5513 0.7268 0.4134
O 0.7723 0.9494 0.6657
O 0.7856 0.9513 0.1523
O 0.7979 0.4629 0.1345
O 0.8053 0.4670 0.6372
CELL_PARAMETERS angstrom
4.4390 -4.6498 0.0000
4.4390 4.6498 0.0000
-0.0241 0.0000 9.2934

=====

# 10
! BaBe2W | the Alexandria database | SCAN | single point on PBEsol structure; values from VASP
! energy = -111.96 eV for the cell shown
! N(E_F) = 0.67 states/eV/atom
&SYSTEM
  ibrav = 0, nat = 4, ntyp = 3
/
ATOMIC_SPECIES
Ba 137.33 Ba.upf
Be 9.01 Be.upf
W 183.84 W.upf
ATOMIC_POSITIONS crystal
Ba 0.0000 0.0000 0.0000
Be 0.2500 0.7500 0.5000
Be 0.7500 0.2500 0.5000
W 0.5000 0.5000 0.0000
CELL_PARAMETERS angstrom
-2.1075 2.1075 3.8283
2.1075 -2.1075 3.8283
2.1075 2.1075 -3.8283

=====

# 11
! Tc3OsS | the Alexandria database | SCAN | single point on PBEsol structure; values from VASP
! energy = -176.97 eV for the cell shown
! energy relative to the elements, uncorrected = 1.943 eV per atom
! N(E_F) = 1.36 states/eV/atom
&SYSTEM
  ibrav = 0, nat = 5, ntyp = 3
/
ATOMIC_SPECIES
Tc 98.00 Tc.upf
Os 190.23 Os.upf
S 32.06 S.upf
ATOMIC_POSITIONS crystal
Tc 0.0000 0.0000 0.5000
Tc 0.0000 0.5000 0.0000
Tc 0.5000 0.0000 0.0000
Os 0.0000 0.0000 0.0000
S 0.5000 0.5000 0.5000
CELL_PARAMETERS angstrom
4.6479 0.0000 0.0000
0.0000 4.6479 0.0000
0.0000 0.0000 4.6479

=====

# 12
! NiAu4 | the Alexandria database | SCAN | single point on PBEsol structure; values from VASP
! energy = -291.04 eV for the cell shown
! N(E_F) = 0.69 states/eV/atom
&SYSTEM
  ibrav = 0, nat = 5, ntyp = 2
/
ATOMIC_SPECIES
Ni 58.69 Ni.upf
Au 196.97 Au.upf
ATOMIC_POSITIONS crystal
Ni 0.0000 0.0000 0.0000
Au 0.2500 0.7500 0.5000
Au 0.4063 0.4063 0.0000
Au 0.5937 0.5937 0.0000
Au 0.7500 0.2500 0.5000
CELL_PARAMETERS angstrom
-1.8312 1.8312 6.8352
1.8312 -1.8312 6.8352
1.8312 1.8312 -6.8352

=====

# 13
! KAg2Se2 | the Alexandria database | SCAN | single point on PBEsol structure; values from VASP
! energy = -113.74 eV for the cell shown
! energy relative to the elements, uncorrected = -0.505 eV per atom
! N(E_F) = 0.66 states/eV/atom
&SYSTEM
  ibrav = 0, nat = 5, ntyp = 3
/
ATOMIC_SPECIES
K 39.10 K.upf
Ag 107.87 Ag.upf
Se 78.96 Se.upf
ATOMIC_POSITIONS crystal
K 0.0000 0.0000 0.0000
Ag 0.2500 0.7500 0.5000
Ag 0.7500 0.2500 0.5000
Se 0.3751 0.3751 0.0000
Se 0.6249 0.6249 0.0000
CELL_PARAMETERS angstrom
-2.1407 2.1407 6.3753
2.1407 -2.1407 6.3753
2.1407 2.1407 -6.3753

=====

# 14
! KTeP | the Alexandria database | SCAN | single point on PBEsol structure; values from VASP
! energy = -55.24 eV for the cell shown
! energy relative to the elements, uncorrected = 0.246 eV per atom
! N(E_F) = 0.47 states/eV/atom
&SYSTEM
  ibrav = 0, nat = 3, ntyp = 3
/
ATOMIC_SPECIES
K 39.10 K.upf
Te 127.60 Te.upf
P 30.97 P.upf
ATOMIC_POSITIONS crystal
K 0.0000 0.0000 0.0000
Te 0.6637 0.6637 0.0000
P 0.3580 0.3580 0.0000
CELL_PARAMETERS angstrom
-1.4981 1.4981 8.6807
1.4981 -1.4981 8.6807
1.4981 1.4981 -8.6807

=====

# 15
! BeCd2As | the Alexandria database | SCAN | single point on PBEsol structure; values from VASP
! energy = -83.25 eV for the cell shown
! N(E_F) = 0.49 states/eV/atom
&SYSTEM
  ibrav = 0, nat = 4, ntyp = 3
/
ATOMIC_SPECIES
Be 9.01 Be.upf
Cd 112.41 Cd.upf
As 74.92 As.upf
ATOMIC_POSITIONS crystal
Be 0.0000 0.0000 0.0000
Cd 0.2500 0.2500 0.2500
Cd 0.7500 0.7500 0.7500
As 0.5000 0.5000 0.5000
CELL_PARAMETERS angstrom
0.0000 3.3297 3.3297
3.3297 0.0000 3.3297
3.3297 3.3297 0.0000

=====

# 16
! Li2Fe2OF4 | the Alexandria database | SCAN | single point on PBEsol structure; values from VASP
! energy = -165.57 eV for the cell shown
! energy relative to the elements, uncorrected = -2.373 eV per atom
! N(E_F) = 0.19 states/eV/atom
&SYSTEM
  ibrav = 0, nat = 18, ntyp = 4
/
ATOMIC_SPECIES
Li 6.94 Li.upf
Fe 55.84 Fe.upf
O 16.00 O.upf
F 19.00 F.upf
ATOMIC_POSITIONS crystal
Li 0.0154 0.9846 0.5000
Li 0.2768 0.7232 0.6036
Li 0.7232 0.2768 0.1036
Li 0.9846 0.0154 0.0000
Fe 0.2454 0.7546 0.8754
Fe 0.4625 0.5375 0.2372
Fe 0.5375 0.4625 0.7372
Fe 0.7546 0.2454 0.3754
O 0.1766 0.8234 0.7369
O 0.8234 0.1766 0.2369
F 0.0758 0.9242 0.1405
F 0.0796 0.9204 0.3474
F 0.3440 0.6560 0.0238
F 0.3763 0.6237 0.4653
F 0.6237 0.3763 0.9653
F 0.6560 0.3440 0.5238
F 0.9204 0.0796 0.8474
F 0.9242 0.0758 0.6405
CELL_PARAMETERS angstrom
1.4051 -4.8178 0.0000
1.4051 4.8178 0.0000
0.0000 0.0000 12.7351

=====

# 17
! MgHOF | the Alexandria database | SCAN | single point on PBEsol structure; values from VASP
! energy = -114.77 eV for the cell shown
! N(E_F) = 0.00 states/eV/atom
&SYSTEM
  ibrav = 0, nat = 16, ntyp = 4
/
ATOMIC_SPECIES
Mg 24.30 Mg.upf
H 1.01 H.upf
O 16.00 O.upf
F 19.00 F.upf
ATOMIC_POSITIONS crystal
Mg 0.1311 0.2500 0.0126
Mg 0.3689 0.7500 0.5126
Mg 0.6311 0.2500 0.4874
Mg 0.8689 0.7500 0.9874
H 0.0702 0.7500 0.5733
H 0.4298 0.2500 0.0733
H 0.5702 0.7500 0.9267
H 0.9298 0.2500 0.4267
O 0.0495 0.7500 0.7820
O 0.4505 0.2500 0.2820
O 0.5495 0.7500 0.7180
O 0.9505 0.2500 0.2180
F 0.2040 0.7500 0.2615
F 0.2960 0.2500 0.7615
F 0.7040 0.7500 0.2385
F 0.7960 0.2500 0.7385
CELL_PARAMETERS angstrom
10.1092 0.0000 0.0000
0.0000 3.0967 0.0000
0.0000 0.0000 4.5804

=====

# 18
! AlTlPS2 | the Alexandria database | SCAN | single point on PBEsol structure; values from VASP
! energy = -104.67 eV for the cell shown
! energy relative to the elements, uncorrected = 1.020 eV per atom
! N(E_F) = 0.60 states/eV/atom
&SYSTEM
  ibrav = 0, nat = 5, ntyp = 4
/
ATOMIC_SPECIES
Al 26.98 Al.upf
Tl 204.38 Tl.upf
P 30.97 P.upf
S 32.06 S.upf
ATOMIC_POSITIONS crystal
Al 0.0000 0.0000 0.0000
Tl 0.5000 0.5000 0.5000
P 0.5000 0.5000 0.0000
S 0.0000 0.5000 0.5000
S 0.5000 0.0000 0.5000
CELL_PARAMETERS angstrom
5.0446 0.0000 0.0000
0.0000 5.0446 0.0000
0.0000 0.0000 5.0665

=====

# 19
! ZrMnSb3 | the Alexandria database | SCAN | single point on PBEsol structure; values from VASP
! energy = -158.79 eV for the cell shown
! energy relative to the elements, uncorrected = 0.388 eV per atom
! N(E_F) = 0.92 states/eV/atom
&SYSTEM
  ibrav = 0, nat = 5, ntyp = 3
/
ATOMIC_SPECIES
Zr 91.22 Zr.upf
Mn 54.94 Mn.upf
Sb 121.76 Sb.upf
ATOMIC_POSITIONS crystal
Zr 0.0000 0.0000 0.0000
Mn 0.5000 0.5000 0.5000
Sb 0.0000 0.5000 0.5000
Sb 0.5000 0.0000 0.5000
Sb 0.5000 0.5000 0.0000
CELL_PARAMETERS angstrom
4.9617 0.0000 0.0000
0.0000 4.9617 0.0000
0.0000 0.0000 4.9617

=====

# 20
! TlOsPbCl2 | the Alexandria database | SCAN | single point on PBEsol structure; values from VASP
! energy = -233.10 eV for the cell shown
! energy relative to the elements, uncorrected = 0.575 eV per atom
! N(E_F) = 0.44 states/eV/atom
&SYSTEM
  ibrav = 0, nat = 5, ntyp = 4
/
ATOMIC_SPECIES
Tl 204.38 Tl.upf
Os 190.23 Os.upf
Pb 207.20 Pb.upf
Cl 35.45 Cl.upf
ATOMIC_POSITIONS crystal
Tl 0.0000 0.0000 0.0000
Os 0.5000 0.5000 0.0000
Pb 0.5000 0.5000 0.5000
Cl 0.0000 0.5000 0.5000
Cl 0.5000 0.0000 0.5000
CELL_PARAMETERS angstrom
5.4933 0.0000 0.0000
0.0000 5.4933 0.0000
0.0000 0.0000 5.2642